Record 1
Computed, not measured: a relaxed structure of Al3CdSe at the GGA-PBE level of DFT.

Cell: 5.018 5.018 5.018 Å, 90.00 90.00 90.00°
Sites, in units of the cell vectors:
Se 0.000 0.000 0.000
Cd 0.500 0.500 0.500
Al 0.500 0.000 0.000
Al 0.000 0.000 0.500
Al 0.000 0.500 0.000

Results
For the total magnetic moment, the calculation gives 0.0 μB per formula unit. As for the crystal system: cubic. As for the formation energy without anion corrections: 549 meV per atom. The density comes out at 3.6 g cm⁻³. For the volume, the calculation gives 126.35 Å³ per cell.

Record 2
Computed, not measured: a relaxed structure of ReRu4Cl at the GGA-PBE level of DFT.

Cell: 5.113 5.113 5.113 Å, 60.00 60.00 60.00°
Sites, in units of the cell vectors:
Ru 0.625 0.625 0.625
Ru 0.625 0.125 0.625
Ru 0.125 0.625 0.625
Ru 0.625 0.625 0.125
Re 0.000 0.000 0.000
Cl 0.250 0.250 0.250

Results
For the total magnetic moment, the calculation gives 2.0 μB per formula unit. As for the crystal system: cubic. As for the formation energy without anion corrections: 1164 meV per atom. The density comes out at 11.0 g cm⁻³. For the volume, the calculation gives 94.53 Å³ per cell.

Record 3
Computed, not measured: a relaxed structure of HfPt2Pb at the GGA-PBE level of DFT.

Cell: 3.420 3.420 6.900 Å, 90.00 90.00 90.00°
Sites, in units of the cell vectors:
Pt 0.000 0.000 0.205
Pb 0.500 0.500 0.500
Hf 0.500 0.500 0.000
Pt 0.000 0.000 0.795

Results
For the total magnetic moment, the calculation gives 0.0 μB per formula unit. As for the crystal system: tetragonal. For the raw total energy, the calculation gives -7.16 eV/atom. The density comes out at 16.0 g cm⁻³. For the volume, the calculation gives 80.73 Å³ per cell.